# Ca2CuB2Rh5

A geometry-optimized Ca2CuB2Rh5 structure (PBE-GGA, Alexandria via LeMat-Bulk).

The calculation puts the mass density at 7.99 g cm⁻³. The calculation puts the formation energy from the elements at -0.448 eV/atom. As for the calculated total energy: -6.27 eV/atom. The calculation puts the magnetization at 0.0 μB per formula unit.

It has space group P4/mbm (No. 127), with a = 9.720 Å, b = 9.720 Å, c = 2.992 Å, α = 90.00°, β = 90.00° and γ = 90.00°. Symmetry generates all atoms from Ca at (0.177, 0.323, 0.000), Cu at (0.000, 0.000, 0.000), B at (0.125, 0.625, 0.000), Rh at (0.000, 0.500, 0.500) and Rh at (0.069, 0.779, 0.500).